1.
Computed, not measured: ZnCuOs2 after structural relaxation at the PBE level of DFT.

Calculated formation energy, eV/atom: 0.527
SG: No. 123
Total magnetization, μB/cell: 0.001
Mass density, g/cm3: 15.209
DFT total energy, eV per atom: -6.43

a = 2.6433 Å, b = 2.6433 Å, c = 7.9604 Å
α = 90.00°, β = 90.00°, γ = 90.00°
Last column: nearest neighbours and their distance in Å.
Fractional positions:
Cu 0.5000 0.5000 0.7500  4 Cu 2.64, 8 Os 2.69
Os 0.0000 0.0000 0.9926  4 Os 2.64, 4 Cu 2.69, 4 Zn 2.77
Os 0.0000 0.0000 0.5074  4 Os 2.64, 4 Cu 2.69, 4 Zn 2.77
Zn 0.5000 0.5000 0.2500  4 Zn 2.64, 8 Os 2.77

2.
Computed, not measured: FeCo after structural relaxation at the PBE level of DFT.

Calculated formation energy, eV/atom: -0.003
SG: No. 166
Total magnetization, μB/cell: 17.394
Mass density, g/cm3: 8.342
DFT total energy, eV per atom: -7.79

a = 6.9422 Å, b = 6.9422 Å, c = 6.9422 Å
α = 33.62°, β = 33.62°, γ = 33.62°
Last column: nearest neighbours and their distance in Å.
Fractional positions:
Co 0.0001 0.0001 0.0001  4 Co 2.45-2.46, 4 Fe 2.45
Co 0.1249 0.1249 0.1249  4 Co 2.45-2.46, 4 Fe 2.45
Co 0.3757 0.3757 0.3757  2 Fe 2.42-2.47, 6 Co 2.45-2.46
Co 0.7493 0.7493 0.7493  2 Fe 2.42-2.47, 6 Co 2.45-2.46
Fe 0.2499 0.2499 0.2499  2 Co 2.45-2.47, 6 Fe 2.46-2.47
Fe 0.4991 0.4991 0.4991  4 Co 2.42-2.45, 4 Fe 2.47-2.49
Fe 0.6259 0.6259 0.6259  4 Co 2.42-2.45, 4 Fe 2.47-2.49
Fe 0.8751 0.8751 0.8751  2 Co 2.45-2.47, 6 Fe 2.46-2.47

3.
Computed, not measured: PrEr2Co after structural relaxation at the PBE level of DFT.

Calculated formation energy, eV/atom: -0.096
SG: No. 123
Total magnetization, μB/cell: 0.601
Mass density, g/cm3: 8.625
DFT total energy, eV per atom: -5.35

a = 3.3954 Å, b = 3.3954 Å, c = 8.9236 Å
α = 90.00°, β = 90.00°, γ = 90.00°
Last column: nearest neighbours and their distance in Å.
Fractional positions:
Pr 0.5000 0.5000 0.5000  4 Pr 3.40, 8 Er 3.75
Co 0.5000 0.5000 0.0000  8 Er 2.88
Er 0.0000 0.0000 0.8222  4 Co 2.88, 1 Er 3.17
Er 0.0000 0.0000 0.1778  4 Co 2.88, 1 Er 3.17

4.
Computed, not measured: Na2Pm2Sn after structural relaxation at the PBE level of DFT.

Calculated formation energy, eV/atom: -0.001
SG: No. 139
Total magnetization, μB/cell: 0.437
Mass density, g/cm3: 4.539
DFT total energy, eV per atom: -3.23

a = 4.1647 Å, b = 4.1647 Å, c = 10.0335 Å
α = 101.98°, β = 101.98°, γ = 90.00°
Last column: nearest neighbours and their distance in Å.
Fractional positions:
Na 0.7500 0.2500 0.5000  4 Na 2.94
Na 0.2500 0.7500 0.5000  4 Na 2.94
Pm 0.4193 0.4193 0.8385  1 Pm 3.10, 4 Sn 3.33
Pm 0.5807 0.5807 0.1615  1 Pm 3.10, 4 Sn 3.33
Sn 0.0000 0.0000 0.0000  8 Pm 3.33

5.
Computed, not measured: AgRh after structural relaxation at the PBE level of DFT.

Calculated formation energy, eV/atom: 0.417
SG: No. 194
Total magnetization, μB/cell: 3.174
Mass density, g/cm3: 9.985
DFT total energy, eV per atom: -4.68

a = 4.3618 Å, b = 4.3618 Å, c = 8.5102 Å
α = 90.00°, β = 90.00°, γ = 120.00°
Last column: nearest neighbours and their distance in Å.
Fractional positions:
Ag 0.3333 0.6667 0.0795  7 Rh 2.80-2.91, 4 Ag 2.86-2.90
Ag 0.6667 0.3333 0.5795  7 Rh 2.80-2.91, 4 Ag 2.86-2.90
Ag 0.6667 0.3333 0.9205  7 Rh 2.80-2.91, 4 Ag 2.86-2.90
Ag 0.3333 0.6667 0.4205  7 Rh 2.80-2.91, 4 Ag 2.86-2.90
Rh 0.0000 0.0000 0.2500  3 Rh 2.52
Rh 0.0000 0.0000 0.7500  3 Rh 2.52
Rh 0.3333 0.6667 0.7500  3 Rh 2.52, 2 Ag 2.80
Rh 0.6667 0.3333 0.2500  3 Rh 2.52, 2 Ag 2.80

6.
Computed, not measured: Rb5Mg4 after structural relaxation at the PBE level of DFT.

Calculated formation energy, eV/atom: 0.292
SG: No. 193
Total magnetization, μB/cell: 0.000
Mass density, g/cm3: 1.793
DFT total energy, eV per atom: -0.95

a = 11.7838 Å, b = 11.7838 Å, c = 8.0814 Å
α = 90.00°, β = 90.00°, γ = 120.00°
Last column: nearest neighbours and their distance in Å.
Fractional positions:
Mg 0.0000 0.0000 0.0000  6 Rb 3.91, 2 Mg 4.04
Mg 0.0000 0.0000 0.5000  6 Rb 3.91, 2 Mg 4.04
Mg 0.0000 0.3758 0.2500  9 Rb 4.00-4.22
Mg 0.6242 0.6242 0.2500  9 Rb 4.00-4.22
Mg 0.3758 0.0000 0.2500  9 Rb 4.00-4.22
Mg 0.0000 0.6242 0.7500  9 Rb 4.00-4.22
Mg 0.3758 0.3758 0.7500  9 Rb 4.00-4.22
Mg 0.6242 0.0000 0.7500  9 Rb 4.00-4.22
Rb 0.0000 0.7162 0.2500  7 Mg 3.91-4.18
Rb 0.2838 0.2838 0.2500  7 Mg 3.91-4.18
Rb 0.7162 0.0000 0.2500  7 Mg 3.91-4.18
Rb 0.0000 0.2838 0.7500  7 Mg 3.91-4.18
Rb 0.7162 0.7162 0.7500  7 Mg 3.91-4.18
Rb 0.2838 0.0000 0.7500  7 Mg 3.91-4.18
Rb 0.6667 0.3333 0.0000  2 Rb 4.04, 6 Mg 4.22
Rb 0.3333 0.6667 0.5000  2 Rb 4.04, 6 Mg 4.22
Rb 0.3333 0.6667 0.0000  2 Rb 4.04, 6 Mg 4.22
Rb 0.6667 0.3333 0.5000  2 Rb 4.04, 6 Mg 4.22

7.
Computed, not measured: Cd2Bi3H4 after structural relaxation at the PBE level of DFT.

SG: No. 2
Total magnetization, μB/cell: 0.000
Mass density, g/cm3: 7.115
DFT total energy, eV per atom: -2.67

a = 7.3341 Å, b = 9.7830 Å, c = 11.7422 Å
α = 32.93°, β = 73.52°, γ = 62.95°
Last column: nearest neighbours and their distance in Å.
Fractional positions:
Cd 0.5499 0.1242 0.5064  4 Bi 2.94-3.24, 1 Cd 2.96, 3 H 3.14-3.27
Cd 0.1837 0.3854 0.7471  2 H 1.90-2.04
Cd 0.4501 0.8758 0.4936  4 Bi 2.94-3.24, 1 Cd 2.96, 3 H 3.14-3.27
Cd 0.8163 0.6146 0.2529  2 H 1.90-2.04
Bi 0.8082 0.1092 0.2627  1 H 1.88
Bi 0.7163 0.6910 0.9717  1 H 1.86
Bi 0.1918 0.8908 0.7373  1 H 1.88
Bi 0.2837 0.3090 0.0283  1 H 1.86
Bi 0.2633 0.6040 0.3520  2 H 2.04-2.08
Bi 0.7367 0.3960 0.6480  2 H 2.04-2.08
H 0.5111 0.6939 0.2830  1 Bi 2.04, 1 Cd 2.04
H 0.0363 0.7120 0.1898  1 Cd 1.90, 1 Bi 2.08
H 0.4889 0.3061 0.7170  1 Bi 2.04, 1 Cd 2.04
H 0.9637 0.2880 0.8102  1 Cd 1.90, 1 Bi 2.08
H 0.9791 0.1102 0.5209  1 Bi 1.88
H 0.5563 0.2436 0.9857  1 Bi 1.86
H 0.0209 0.8898 0.4791  1 Bi 1.88
H 0.4437 0.7564 0.0143  1 Bi 1.86

8.
Computed, not measured: YMg2In2 after structural relaxation at the PBE level of DFT.

Calculated formation energy, eV/atom: -0.071
SG: No. 194
Total magnetization, μB/cell: 0.000
Mass density, g/cm3: 4.416
DFT total energy, eV per atom: -3.10

a = 5.1203 Å, b = 5.1203 Å, c = 12.1607 Å
α = 90.00°, β = 90.00°, γ = 120.00°
Last column: nearest neighbours and their distance in Å.
Fractional positions:
Y 0.0000 0.0000 0.2500  5 In 2.96-3.04
Y 0.0000 0.0000 0.7500  5 In 2.96-3.04
Mg 0.3333 0.6667 0.6066  6 In 3.23-3.43, 3 Y 3.43, 1 Mg 3.49
Mg 0.6667 0.3333 0.1066  6 In 3.23-3.43, 3 Y 3.43, 1 Mg 3.49
Mg 0.6667 0.3333 0.3934  6 In 3.23-3.43, 3 Y 3.43, 1 Mg 3.49
Mg 0.3333 0.6667 0.8934  6 In 3.23-3.43, 3 Y 3.43, 1 Mg 3.49
In 0.6667 0.3333 0.7500  3 Y 2.96
In 0.0000 0.0000 0.0000  2 Y 3.04, 6 Mg 3.23
In 0.0000 0.0000 0.5000  2 Y 3.04, 6 Mg 3.23
In 0.3333 0.6667 0.2500  3 Y 2.96